(1)
# SrMgGa2Fe | Alexandria | PBE | relaxed
# ΔH_f (0 K) (eV/atom): -0.20
# Final energy (eV/cell): -18.82
data_SrMgGa2Fe
_chemical_formula_sum 'Sr1 Mg1 Ga2 Fe1'
_cell_length_a 4.684
_cell_length_b 4.684
_cell_length_c 4.855
_cell_angle_alpha 90.00
_cell_angle_beta 90.00
_cell_angle_gamma 90.00
_symmetry_space_group_name_H-M 'P 1'
_symmetry_Int_Tables_number 1
loop_
_symmetry_equiv_pos_as_xyz
'x,y,z'
loop_
_atom_site_label
_atom_site_type_symbol
_atom_site_fract_x
_atom_site_fract_y
_atom_site_fract_z
_atom_site_occupancy
Ga1 Ga 0.000 0.500 0.000 1
Ga2 Ga 0.500 0.000 0.000 1
Fe1 Fe 0.000 0.000 0.000 1
Sr1 Sr 0.500 0.500 0.500 1
Mg1 Mg 0.000 0.000 0.500 1


(2)
# MgGaFeTc | Alexandria | PBE | relaxed
# ΔH_f (0 K) (eV/atom): 0.03
# Final energy (eV/cell): -23.33
data_MgGaFeTc
_chemical_formula_sum 'Mg1 Ga1 Fe1 Tc1'
_cell_length_a 4.336
_cell_length_b 4.336
_cell_length_c 4.336
_cell_angle_alpha 60.00
_cell_angle_beta 60.00
_cell_angle_gamma 60.00
_symmetry_space_group_name_H-M 'P 1'
_symmetry_Int_Tables_number 1
loop_
_symmetry_equiv_pos_as_xyz
'x,y,z'
loop_
_atom_site_label
_atom_site_type_symbol
_atom_site_fract_x
_atom_site_fract_y
_atom_site_fract_z
_atom_site_occupancy
Fe1 Fe 0.250 0.250 0.250 1
Mg1 Mg 0.000 0.000 0.000 1
Tc1 Tc 0.500 0.500 0.500 1
Ga1 Ga 0.750 0.750 0.750 1


(3)
# Mg2TiGaFe | Alexandria | PBE | relaxed
# ΔH_f (0 K) (eV/atom): 0.90
# Final energy (eV/cell): -18.08
data_Mg2TiGaFe
_chemical_formula_sum 'Mg2 Ti1 Ga1 Fe1'
_cell_length_a 5.488
_cell_length_b 3.965
_cell_length_c 5.488
_cell_angle_alpha 90.00
_cell_angle_beta 90.00
_cell_angle_gamma 90.00
_symmetry_space_group_name_H-M 'P 1'
_symmetry_Int_Tables_number 1
loop_
_symmetry_equiv_pos_as_xyz
'x,y,z'
loop_
_atom_site_label
_atom_site_type_symbol
_atom_site_fract_x
_atom_site_fract_y
_atom_site_fract_z
_atom_site_occupancy
Ti1 Ti 0.000 0.000 0.000 1
Mg1 Mg 0.000 0.000 0.500 1
Mg2 Mg 0.500 0.000 0.000 1
Fe1 Fe 0.000 0.500 0.000 1
Ga1 Ga 0.500 0.500 0.500 1


(4)
# MgTlGaFe2 | Alexandria | PBE | relaxed
# ΔH_f (0 K) (eV/atom): 0.85
# Final energy (eV/cell): -19.65
data_MgTlGaFe2
_chemical_formula_sum 'Mg1 Tl1 Ga1 Fe2'
_cell_length_a 4.539
_cell_length_b 5.072
_cell_length_c 4.539
_cell_angle_alpha 90.00
_cell_angle_beta 90.00
_cell_angle_gamma 90.00
_symmetry_space_group_name_H-M 'P 1'
_symmetry_Int_Tables_number 1
loop_
_symmetry_equiv_pos_as_xyz
'x,y,z'
loop_
_atom_site_label
_atom_site_type_symbol
_atom_site_fract_x
_atom_site_fract_y
_atom_site_fract_z
_atom_site_occupancy
Ga1 Ga 0.000 0.000 0.000 1
Fe1 Fe 0.000 0.000 0.500 1
Fe2 Fe 0.500 0.000 0.000 1
Tl1 Tl 0.000 0.500 0.000 1
Mg1 Mg 0.500 0.500 0.500 1